(1)
SrSb2TeO | Alexandria | PBE | optimized geometry; energy above the lowest structure with this stoichiometry = 0.000 eV per atom; ΔE_f (raw) = -0.5618 eV/atom
1.0
4.826 0.000 0.000
0.000 4.826 0.000
0.000 0.000 5.272
Sr Sb Te O
1 2 1 1
Direct
0.000 0.000 0.000 Sr
0.000 0.500 0.500 Sb
0.500 0.000 0.500 Sb
0.500 0.500 0.000 Te
0.500 0.500 0.500 O



(2)
LiCeHo | Alexandria | PBE | optimized geometry; energy above the lowest structure with this stoichiometry = 0.021 eV per atom; formation energy from the elements = 176 meV/atom
1.0
-1.703 1.703 7.090
1.703 -1.703 7.090
1.703 1.703 -7.090
Li Ce Ho
1 1 1
Direct
0.000 0.000 0.000 Li
0.335 0.335 0.000 Ce
0.660 0.660 0.000 Ho



In Å³/cell, the calculated volume values for the records above are, in order, 123, 82.